PBE+U Cs2YVF6, optimized geometry; DOS at the Fermi energy = 0.000 states/eV per atom; total DFT energy (no corrections) = -5.667 eV/atom; space group = No. 139
1.0
-5.6975 -1.9828 -1.1945
1.5931 -5.6611 1.7985
-3.6054 -2.5671 5.6276
Cs Y F V
2 1 6 1
Direct
0.7500 0.2500 0.5000
0.2500 0.7500 0.5000
0.0000 0.0000 0.0000
0.1914 0.1914 0.6171
0.8086 0.8086 0.3829
0.2529 0.2529 0.0000
0.7471 0.7471 0.0000
0.7471 0.2529 0.0000
0.2529 0.7471 0.0000
0.5000 0.5000 0.0000